(1)
Density functional theory data (PBE) for crystalline FeReMo at its relaxed geometry.

Calculated values
E_tot (eV per cell): -31.483
Symmetry: No. 107

Cell lengths 6.1156, 6.1156, 6.1156 Å; angles 154.76, 154.76, 36.00 degrees
Fractional coordinates of all 3 atoms:
Re 0.6501 0.6501 0.0000
Fe 0.0070 0.0070 0.0000
Mo 0.3429 0.3429 0.0000

(2)
Density functional theory data (PBE) for crystalline La2YErS4 at its relaxed geometry.

Calculated values
Uncorrected formation energy (meV/atom): -2079
Symmetry: No. 10

Cell lengths 3.9633, 6.9071, 7.1017 Å; angles 108.75, 90.00, 90.00 degrees
Fractional coordinates of all 8 atoms:
La 0.5000 0.0000 0.5000
S 0.5000 0.7550 0.7716
La 0.0000 0.5000 0.5000
S 0.0000 0.7396 0.2268
S 0.0000 0.2604 0.7732
Y 0.0000 0.0000 0.0000
S 0.5000 0.2450 0.2284
Er 0.5000 0.5000 0.0000